VASP calculation (PBE+U) on an optimized crystal structure of ErMo2F11.

SG = No. 72
D(E_F) = 0.00 states/eV per atom
E_tot = -160.96 eV per cell

a = 8.189 Å, b = 8.189 Å, c = 8.189 Å
α = 123.95°, β = 106.39°, γ = 99.17°
Sites, in units of the cell vectors:
Er  0.250  0.250  0.000
Er  0.750  0.750  0.000
Mo  0.181  0.642  0.823
Mo  0.319  0.142  0.461
Mo  0.681  0.858  0.539
Mo  0.819  0.358  0.177
F  0.000  0.500  0.500
F  0.042  0.954  0.277
F  0.063  0.365  0.161
F  0.178  0.454  0.912
F  0.204  0.902  0.839
F  0.215  0.368  0.583
F  0.285  0.868  0.154
F  0.296  0.135  0.698
F  0.322  0.235  0.277
F  0.437  0.598  0.302
F  0.458  0.735  0.912
F  0.500  0.000  0.500
F  0.542  0.265  0.088
F  0.563  0.402  0.698
F  0.678  0.765  0.723
F  0.704  0.865  0.302
F  0.715  0.132  0.846
F  0.785  0.632  0.417
F  0.796  0.098  0.161
F  0.822  0.546  0.088
F  0.937  0.635  0.839
F  0.958  0.046  0.723